Nd2P3Pt12Au after structural relaxation. Source: Alexandria via LeMat-Bulk, functional PBE.

## Properties
ΔE_f: -0.35 eV per atom
magnetization: 0.000 μB/cell
uncorrected energy: -5.991 eV/atom

Unit cell a=7.6791 b=7.6791 c=7.6791 alpha=65.41 beta=65.41 gamma=65.41
Closest atoms and distances in Å follow each position.
Atoms (fractional coordinates):
Nd1 0.6087 0.6087 0.6087  6 Pt 2.91-3.03
Nd2 0.3913 0.3913 0.3913  6 Pt 2.91-3.03
P1 0.5000 0.0000 0.0000  6 Pt 2.27-2.33
P2 0.0000 0.5000 0.0000  6 Pt 2.27-2.33
P3 0.0000 0.0000 0.5000  6 Pt 2.27-2.33
Pt1 0.3426 0.3426 0.8971  2 P 2.33
Pt2 0.8677 0.8677 0.3863  1 P 2.27
Pt3 0.3863 0.8677 0.8677  1 P 2.27
Pt4 0.8971 0.3426 0.3426  2 P 2.33
Pt5 0.8677 0.3863 0.8677  1 P 2.27
Pt6 0.3426 0.8971 0.3426  2 P 2.33
Pt7 0.6574 0.6574 0.1029  2 P 2.33
Pt8 0.1323 0.1323 0.6137  1 P 2.27
Pt9 0.6137 0.1323 0.1323  1 P 2.27
Pt10 0.1029 0.6574 0.6574  2 P 2.33
Pt11 0.1323 0.6137 0.1323  1 P 2.27
Pt12 0.6574 0.1029 0.6574  2 P 2.33
Au1 0.0000 0.0000 0.0000  6 Pt 2.59

NdP2Pt7Au2 after structural relaxation. Source: Alexandria via LeMat-Bulk, functional PBE.

## Properties
ΔE_f: -0.41 eV per atom
magnetization: 0.000 μB/cell
uncorrected energy: -5.776 eV/atom

Unit cell a=3.9869 b=3.9869 c=14.4157 alpha=82.03 beta=82.03 gamma=90.01
Closest atoms and distances in Å follow each position.
Atoms (fractional coordinates):
Nd1 0.0000 0.0000 0.0000  12 Pt 2.82-3.05
P1 0.6272 0.6272 0.7462  5 Pt 2.19-2.37
P2 0.3728 0.3728 0.2538  5 Pt 2.19-2.37
Pt1 0.5000 0.5000 0.0000  4 Nd 2.82, 8 Pt 3.05
Pt2 0.2949 0.2949 0.4088  1 P 2.19
Pt3 0.7051 0.7051 0.5912  1 P 2.19
Pt4 0.9181 0.4180 0.1632  2 P 2.37
Pt5 0.4180 0.9181 0.1632  2 P 2.37
Pt6 0.5820 0.0819 0.8368  2 P 2.37
Pt7 0.0819 0.5820 0.8368  2 P 2.37
Au1 0.7982 0.7982 0.4019  5 Pt 2.68-2.82
Au2 0.2018 0.2018 0.5981  5 Pt 2.68-2.82

Nd2P3Rh12Au after structural relaxation. Source: Alexandria via LeMat-Bulk, functional PBE.

## Properties
ΔE_f: -0.14 eV per atom
magnetization: 0.000 μB/cell
uncorrected energy: -6.659 eV/atom

Unit cell a=7.0890 b=7.0890 c=7.0890 alpha=73.51 beta=73.51 gamma=73.51
Closest atoms and distances in Å follow each position.
Atoms (fractional coordinates):
Nd1 0.6040 0.6040 0.6040  3 Rh 2.70
Nd2 0.3960 0.3960 0.3960  3 Rh 2.70
P1 0.5000 0.0000 0.0000  6 Rh 2.21-2.31
P2 0.0000 0.5000 0.0000  6 Rh 2.21-2.31
P3 0.0000 0.0000 0.5000  6 Rh 2.21-2.31
Rh1 0.3318 0.3318 0.9149  2 P 2.31
Rh2 0.8499 0.8499 0.3700  1 P 2.21
Rh3 0.3700 0.8499 0.8499  1 P 2.21
Rh4 0.9149 0.3318 0.3318  2 P 2.31
Rh5 0.8499 0.3700 0.8499  1 P 2.21
Rh6 0.3318 0.9149 0.3318  2 P 2.31
Rh7 0.6682 0.6682 0.0851  2 P 2.31
Rh8 0.1501 0.1501 0.6300  1 P 2.21
Rh9 0.6300 0.1501 0.1501  1 P 2.21
Rh10 0.0851 0.6682 0.6682  2 P 2.31
Rh11 0.1501 0.6300 0.1501  1 P 2.21
Rh12 0.6682 0.0851 0.6682  2 P 2.31
Au1 0.0000 0.0000 0.0000  6 Rh 2.57

Nd2P3Rh4Au after structural relaxation. Source: Alexandria via LeMat-Bulk, functional PBE.

## Properties
ΔE_f: -0.89 eV per atom
magnetization: 0.000 μB/cell
uncorrected energy: -6.732 eV/atom

Unit cell a=4.0487 b=4.0487 c=10.7039 alpha=90.00 beta=90.00 gamma=90.00
Closest atoms and distances in Å follow each position.
Atoms (fractional coordinates):
Nd1 0.5000 0.0000 0.2526  4 Rh 2.99, 6 P 3.17-3.33, 2 Au 3.33
Nd2 0.0000 0.5000 0.7474  4 Rh 2.99, 6 P 3.17-3.33, 2 Au 3.33
P1 0.0000 0.0000 0.5000  4 Rh 2.70, 4 Au 2.86
P2 0.5000 0.0000 0.8756  5 Rh 2.24-2.42
P3 0.0000 0.5000 0.1244  5 Rh 2.24-2.42
Rh1 0.5000 0.5000 0.0000  4 P 2.42
Rh2 0.0000 0.0000 0.0000  4 P 2.42
Rh3 0.5000 0.0000 0.6664  1 P 2.24
Rh4 0.0000 0.5000 0.3336  1 P 2.24
Au1 0.5000 0.5000 0.5000  4 Rh 2.70, 4 P 2.86

Nd3P2Rh9Au after structural relaxation. Source: Alexandria via LeMat-Bulk, functional PBE.

## Properties
ΔE_f: -0.51 eV per atom
magnetization: 0.000 μB/cell
uncorrected energy: -6.819 eV/atom

Unit cell a=6.0178 b=6.0178 c=9.3860 alpha=90.00 beta=90.00 gamma=120.00
Closest atoms and distances in Å follow each position.
Atoms (fractional coordinates):
Nd1 0.3333 0.6667 0.6679  6 Rh 3.07
Nd2 0.0000 0.0000 0.0000  12 Rh 3.00-3.01
Nd3 0.6667 0.3333 0.3321  6 Rh 3.07
P1 0.3333 0.6667 0.1574  6 Rh 2.18-2.28
P2 0.6667 0.3333 0.8426  6 Rh 2.18-2.28
Rh1 0.8484 0.1516 0.7285  1 P 2.18
Rh2 0.8484 0.6967 0.7285  1 P 2.18
Rh3 0.3033 0.1516 0.7285  1 P 2.18
Rh4 0.6967 0.8484 0.2715  1 P 2.18
Rh5 0.1516 0.3033 0.2715  1 P 2.18
Rh6 0.1516 0.8484 0.2715  1 P 2.18
Rh7 0.5000 0.0000 0.0000  2 P 2.28
Rh8 0.0000 0.5000 0.0000  2 P 2.28
Rh9 0.5000 0.5000 0.0000  2 P 2.28
Au1 0.0000 0.0000 0.5000  6 Rh 2.66

Nd6P3AuS2 after structural relaxation. Source: Alexandria via LeMat-Bulk, functional PBE.

## Properties
magnetization: 0.000 μB/cell
uncorrected formation energy: -1.597 eV per atom
uncorrected energy: -6.295 eV/atom

Unit cell a=4.1485 b=8.3613 c=9.2933 alpha=102.91 beta=102.90 gamma=90.00
Closest atoms and distances in Å follow each position.
Atoms (fractional coordinates):
Nd1 0.3267 0.9147 0.6534  3 P 2.84-2.93, 2 S 2.96, 1 Au 3.06
Nd2 0.6660 0.5878 0.3319  3 P 2.92-2.93, 3 S 2.93-2.96
Nd3 0.6733 0.0853 0.3466  3 P 2.84-2.93, 2 S 2.96, 1 Au 3.06
Nd4 0.0001 0.2660 0.0002  3 P 2.85-2.93, 1 S 2.96, 2 Au 3.04
Nd5 0.9999 0.7340 0.9998  3 P 2.85-2.93, 1 S 2.96, 2 Au 3.04
Nd6 0.3340 0.4122 0.6681  3 P 2.92-2.93, 3 S 2.93-2.96
P1 0.5000 0.5000 0.0000  6 Nd 2.85-2.93
P2 0.8341 0.1662 0.6683  6 Nd 2.84-2.93
P3 0.1659 0.8338 0.3317  6 Nd 2.84-2.93
Au1 0.5000 0.0000 0.0000  6 Nd 3.04-3.06
S1 0.8321 0.6644 0.6643  6 Nd 2.93-2.96
S2 0.1679 0.3356 0.3357  6 Nd 2.93-2.96